# RbBOs3

A relaxed structure of RbBOs3 (PBE, Alexandria).

a b c (Å): 4.3261 4.3261 4.3261
angles (deg): 90.00 90.00 90.00
Closest atoms and distances in Å follow each position.
Sites, in units of the cell vectors:
1 Os 0.0000 0.0000 0.5000  2 B 2.16
2 Os 0.5000 0.0000 0.0000  2 B 2.16
3 Os 0.0000 0.5000 0.0000  2 B 2.16
4 B 0.0000 0.0000 0.0000  6 Os 2.16
5 Rb 0.5000 0.5000 0.5000  12 Os 3.06

Summary:
crystal system = cubic
energy above the lowest structure with this stoichiometry = 0.0 meV per atom
SG = Pm-3m
E_form = 1474 meV/atom

# TeRh2Pb

A relaxed structure of TeRh2Pb (PBE, Alexandria).

a b c (Å): 4.6344 4.6344 8.9917
angles (deg): 75.07 75.07 90.00
Closest atoms and distances in Å follow each position.
Sites, in units of the cell vectors:
1 Te 0.2500 0.7500 0.5000  4 Rh 2.58
2 Te 0.5000 0.5000 0.0000  4 Rh 2.58
3 Pb 0.0000 0.0000 0.0000  4 Rh 2.75
4 Pb 0.7500 0.2500 0.5000  4 Rh 2.75
5 Rh 0.1681 0.6250 0.2500  2 Te 2.58, 2 Pb 2.75
6 Rh 0.3750 0.4181 0.7500  2 Te 2.58, 2 Pb 2.75
7 Rh 0.8750 0.8319 0.7500  2 Te 2.58, 2 Pb 2.75
8 Rh 0.5819 0.1250 0.2500  2 Te 2.58, 2 Pb 2.75

Summary:
crystal system = tetragonal
energy above the lowest structure with this stoichiometry = 300.2 meV per atom
SG = I-42d

# LiCaAs2Pd4

A relaxed structure of LiCaAs2Pd4 (PBE, Alexandria).

a b c (Å): 4.3669 4.3669 8.6055
angles (deg): 75.30 75.30 60.00
Closest atoms and distances in Å follow each position.
Sites, in units of the cell vectors:
1 As 0.2418 0.2418 0.2745  7 Pd 2.58-2.73
2 As 0.7582 0.7582 0.7255  7 Pd 2.58-2.73
3 Pd 0.1340 0.1340 0.5979  3 Li 2.65, 4 As 2.66-2.73
4 Pd 0.8660 0.8660 0.4021  3 Li 2.65, 4 As 2.66-2.73
5 Pd 0.4028 0.4028 0.7916  1 Li 2.40, 3 As 2.58
6 Pd 0.5972 0.5972 0.2084  1 Li 2.40, 3 As 2.58
7 Li 0.5000 0.5000 0.5000  8 Pd 2.40-2.65
8 Ca 0.0000 0.0000 0.0000  8 Pd 3.05-3.31, 6 As 3.38

Summary:
crystal system = trigonal
SG = R-3m
E_form = -578 meV/atom

| no. | E (eV per atom) | calculated volume (Å³ per atom) |
| --- | --- | --- |
| 1 | -6.79 | 16.19 |
| 2 | -5.32 | 22.48 |
| 3 | -4.83 | 16.99 |